DFT (GGA-PBE) results for crystalline KNa2VH6 at its relaxed geometry.

Calculated values
Magnetic moment (μB/f.u.): 2.000
Uncorrected energy (eV per atom): -3.3771

Unit cell a=5.5799 b=5.9184 c=9.7169 alpha=90.00 beta=124.53 gamma=90.00
Space group P2_1/c (No. 14)
Unique sites:
K  0.0000  0.0000  0.0000 (multiplicity 2)
Na  0.2209  0.0167  0.7237 (multiplicity 4)
V  0.5000  0.0000  0.5000 (multiplicity 2)
H  0.2097  0.1457  0.4857 (multiplicity 4)
H  0.2334  0.7111  0.8676 (multiplicity 4)
H  0.4457  0.1448  0.3212 (multiplicity 4)